1.
VASP calculation (PBE) on an optimized crystal structure of Tb8PSe4S3.

The structure belongs to space group R-3m (No. 166, hexagonal axes); the cell edges are 8.0094, 8.0094 and 20.0018 Å and the angles 90.00°, 90.00° and 120.00°. The inequivalent atoms are Tb at (0.0000, 0.0000, 0.2414), Tb at (0.0034, 0.5017, 0.2415), P at (0.0000, 0.0000, 0.5000), Se at (0.0000, 0.0000, 0.0000), Se at (0.0000, 0.5000, 0.0000) and S at (0.0000, 0.5000, 0.5000).

For the total DFT energy (no corrections), the calculation gives -6.18 eV/atom. The value obtained for the uncorrected formation energy is -2909.4 kJ/mol of formula units. The calculated volume is 23.15 Å³/atom. The calculation puts the density of states at the Fermi level at 16.25 states/eV per cell.

---

2.
VASP calculation (PBE) on an optimized crystal structure of YPbOF2.

The structure belongs to space group P4/mmm (No. 123); the cell edges are 4.498, 4.498 and 4.430 Å and the angles 90.00°, 90.00° and 90.00°. The inequivalent atoms are Y at (0.000, 0.000, 0.000), Pb at (0.500, 0.500, 0.500), O at (0.000, 0.000, 0.500) and F at (0.000, 0.500, 0.000).

For the total DFT energy (no corrections), the calculation gives -6.38 eV/atom. The offset from the most stable computed form is 0.0 meV/atom. The value obtained for the uncorrected formation energy is -1257.8 kJ/mol of formula units. The calculated volume is 17.93 Å³/atom. The calculation puts the density of states at the Fermi level at 2.10 states/eV per cell.

---

3.
VASP calculation (PBE) on an optimized crystal structure of NaPmHg2.

The structure belongs to space group R-3m (No. 166, hexagonal axes); the cell edges are 3.7578, 3.7578 and 28.4089 Å and the angles 90.00°, 90.00° and 120.00°. The inequivalent atoms are Na at (0.0000, 0.0000, 0.0000), Pm at (0.0000, 0.0000, 0.5000) and Hg at (0.0000, 0.0000, 0.2499).

For the total DFT energy (no corrections), the calculation gives -1.89 eV/atom. Its formation enthalpy at 0 K is -0.2203 eV per atom. The calculated volume is 28.95 Å³/atom. The calculation puts the density of states at the Fermi level at 6.06 states/eV per cell.

---

4.
VASP calculation (PBE) on an optimized crystal structure of RbPaOs2O8.

The structure belongs to space group P-3m1 (No. 164); the cell edges are 5.9246, 5.9246 and 8.1045 Å and the angles 90.00°, 90.00° and 120.00°. The inequivalent atoms are Rb at (0.0000, 0.0000, 0.0000), Pa at (0.0000, 0.0000, 0.5000), Os at (0.3333, 0.6667, 0.7640), O at (0.1697, 0.3393, 0.6623) and O at (0.3333, 0.6667, 0.9805).

For the total DFT energy (no corrections), the calculation gives -7.66 eV/atom. The value obtained for the uncorrected formation energy is -1862.7 kJ/mol of formula units. The calculated volume is 20.53 Å³/atom. The calculation puts the density of states at the Fermi level at 10.06 states/eV per cell.

---

5.
VASP calculation (PBE) on an optimized crystal structure of AgSI3.

The structure belongs to space group Pm-3m (No. 221); the cell edges are 5.685, 5.685 and 5.685 Å and the angles 90.00°, 90.00° and 90.00°. The inequivalent atoms are Ag at (0.000, 0.000, 0.000), S at (0.500, 0.500, 0.500) and I at (0.000, 0.000, 0.500).

For the total DFT energy (no corrections), the calculation gives -1.71 eV/atom. The offset from the most stable computed form is 243.2 meV/atom. The value obtained for the uncorrected formation energy is 295.1 kJ/mol of formula units. The calculated volume is 36.74 Å³/atom. The calculation puts the density of states at the Fermi level at 6.51 states/eV per cell.

---

6.
VASP calculation (PBE) on an optimized crystal structure of Pm2ErPuTe5.

The structure belongs to space group P4/mmm (No. 123); the cell edges are 5.475, 5.475 and 11.752 Å and the angles 90.00°, 90.00° and 90.00°. The inequivalent atoms are Pm at (0.000, 0.000, 0.168), Er at (0.500, 0.500, 0.000), Pu at (0.500, 0.500, 0.500), Te at (0.000, 0.000, 0.500), Te at (0.000, 0.500, 0.000) and Te at (0.500, 0.500, 0.248).

For the total DFT energy (no corrections), the calculation gives -5.62 eV/atom. The value obtained for the uncorrected formation energy is -628.1 kJ/mol of formula units. The calculated volume is 39.13 Å³/atom. The calculation puts the density of states at the Fermi level at 21.48 states/eV per cell.